# MnO2

A relaxed MnO2 crystal (PBE+U, Alexandria via LeMat-Bulk).

Properties
VASP energy = -7.112 eV per atom
total magnetic moment = 3.00 μB/f.u.

Lattice parameters (Å, degrees): 2.931 2.932 5.245 106.08 90.45 120.01
Atoms (fractional coordinates):
Mn: 0.000 0.000 0.000
O: 0.734 0.463 0.193
O: 0.266 0.537 0.807